(1)
DFT (PBE-GGA) results for an optimized crystal structure of Ba2Ga7Pt12. Values from VASP.

The structure in Quantum ESPRESSO input format:
```
&SYSTEM
  ibrav = 0, nat = 21, ntyp = 3
/
ATOMIC_SPECIES
Ba 137.33 Ba.upf
Pt 195.08 Pt.upf
Ga 69.72 Ga.upf
ATOMIC_POSITIONS crystal
Ba 0.0000 0.6667 0.3333
Ba 0.5000 0.0000 0.0000
Pt 0.5000 0.5294 0.7578
Pt 0.5000 0.3920 0.3076
Pt 0.5000 0.2422 0.7715
Pt 0.0000 0.4747 0.5276
Pt 0.0000 0.4724 0.9471
Pt 0.5000 0.6924 0.0844
Pt 0.5000 0.2285 0.4706
Pt 0.0000 0.0529 0.5253
Pt 0.0000 0.9108 0.1925
Pt 0.0000 0.2817 0.0892
Pt 0.5000 0.9156 0.6080
Pt 0.0000 0.8075 0.7183
Ga 0.0000 0.0919 0.7949
Ga 0.0000 0.3333 0.6667
Ga 0.0000 0.2051 0.2970
Ga 0.5000 0.6493 0.5895
Ga 0.5000 0.9401 0.3507
Ga 0.5000 0.4105 0.0599
Ga 0.0000 0.7030 0.9081
CELL_PARAMETERS angstrom
-3.3438 -0.6020 -2.4871
6.1377 -0.6110 -8.1041
-2.3780 -8.4078 5.2322
```

Uncorrected energy: -111.3 eV/cell
Density: 13.63 g/cm³


(2)
DFT (PBE-GGA) results for an optimized crystal structure of BeSn2Sb2. Values from VASP.

The structure in Quantum ESPRESSO input format:
```
&SYSTEM
  ibrav = 0, nat = 10, ntyp = 3
/
ATOMIC_SPECIES
Sn 118.71 Sn.upf
Sb 121.76 Sb.upf
Be 9.01 Be.upf
ATOMIC_POSITIONS crystal
Sn 0.7953 0.7047 0.5000
Sn 0.2047 0.2953 0.5000
Sn 0.2953 0.7953 0.5000
Sn 0.7047 0.2047 0.5000
Sb 0.6535 0.1535 0.0000
Sb 0.8465 0.6535 0.0000
Sb 0.3465 0.8465 0.0000
Sb 0.1535 0.3465 0.0000
Be 0.0000 0.0000 0.0000
Be 0.5000 0.5000 0.0000
CELL_PARAMETERS angstrom
6.5979 0.0000 0.0000
0.0000 6.5979 0.0000
0.0000 0.0000 6.1634
```

Uncorrected formation energy: 237 meV/atom
Density: 6.06 g/cm³